A plane-wave DFT calculation with GGA-PBE was carried out for crystalline Mg2BeCu2 at its relaxed geometry.

```
data_Mg2BeCu2
_chemical_formula_sum 'Mg4 Be2 Cu4'
_symmetry_space_group_name_H-M 'P 4/m b m'
_symmetry_Int_Tables_number 127
_symmetry_space_group_name_Hall '-P 4 2ab'
_cell_length_a 5.956
_cell_length_b 5.956
_cell_length_c 4.211
_cell_angle_alpha 90.00
_cell_angle_beta 90.00
_cell_angle_gamma 90.00
loop_
_atom_site_label
_atom_site_fract_x
_atom_site_fract_y
_atom_site_fract_z
Mg1 0.171 0.329 0.000
Be1 0.000 0.000 0.500
Cu1 0.146 0.646 0.500
```

Summary:
* density of states at the Fermi level: 1.720 states/eV/f.u.
* calculated volume: 149.4 Å³ per cell
* E_form: 0.043 eV per atom